! MgSbAs2 PBE optimized geometry; values from VASP
&SYSTEM
  ibrav = 0, nat = 4, ntyp = 3
/
ATOMIC_SPECIES
As 74.92 As.upf
Mg 24.30 Mg.upf
Sb 121.76 Sb.upf
ATOMIC_POSITIONS crystal
As 0.000 0.000 0.924
As 0.500 0.500 0.407
Mg 0.000 0.000 0.354
Sb 0.500 0.500 0.815
CELL_PARAMETERS angstrom
-2.583 -2.956 0.807
2.403 -2.514 -1.520
2.751 -0.838 5.734
! Formation energy without anion corrections, meV/atom: -170
! Relative energy among the computed polymorphs, meV per atom: 0
! Total energy, eV/atom: -3.924
! SG: Pmm2 (25)